--- a ---
Density functional theory data (PBE) for a geometry-optimized YTaFe structure.

Structure (CIF):
```
data_YTaFe
_chemical_formula_sum 'Y1 Ta1 Fe1'
_space_group_name_H-M_alt 'P 1'
_space_group_IT_number 1
_cell_length_a 4.4239
_cell_length_b 4.4239
_cell_length_c 4.4239
_cell_angle_alpha 60.00
_cell_angle_beta 60.00
_cell_angle_gamma 60.00
loop_
_space_group_symop_operation_xyz
'x,y,z'
loop_
_atom_site_label
_atom_site_type_symbol
_atom_site_fract_x
_atom_site_fract_y
_atom_site_fract_z
Y1 Y 0.0000 0.0000 0.0000
Ta1 Ta 0.5000 0.5000 0.5000
Fe1 Fe 0.7500 0.7500 0.7500
```

---

--- b ---
Density functional theory data (PBE) for a geometry-optimized YTaFe structure.

Structure (CIF):
```
data_YTaFe
_chemical_formula_sum 'Y1 Ta1 Fe1'
_space_group_name_H-M_alt 'P 1'
_space_group_IT_number 1
_cell_length_a 4.0250
_cell_length_b 4.0250
_cell_length_c 4.5500
_cell_angle_alpha 90.00
_cell_angle_beta 90.00
_cell_angle_gamma 120.00
loop_
_space_group_symop_operation_xyz
'x,y,z'
loop_
_atom_site_label
_atom_site_type_symbol
_atom_site_fract_x
_atom_site_fract_y
_atom_site_fract_z
Y1 Y 0.0000 0.0000 0.0000
Ta1 Ta 0.3333 0.6667 0.5000
Fe1 Fe 0.6667 0.3333 0.5000
```

---

List of relative energies, unit kJ/mol of atoms: a 14.2; b 0.0

---

--- a ---
Density functional theory data (PBE) for a geometry-optimized Ta2ZnFe2 structure.

Structure (CIF):
```
data_Ta2ZnFe2
_chemical_formula_sum 'Ta4 Zn2 Fe4'
_space_group_name_H-M_alt 'P 1'
_space_group_IT_number 1
_cell_length_a 7.2789
_cell_length_b 7.2789
_cell_length_c 2.8734
_cell_angle_alpha 90.00
_cell_angle_beta 90.00
_cell_angle_gamma 90.00
loop_
_space_group_symop_operation_xyz
'x,y,z'
loop_
_atom_site_label
_atom_site_type_symbol
_atom_site_fract_x
_atom_site_fract_y
_atom_site_fract_z
Ta1 Ta 0.1504 0.3496 0.0000
Ta2 Ta 0.3496 0.8496 0.0000
Ta3 Ta 0.6504 0.1504 0.0000
Ta4 Ta 0.8496 0.6504 0.0000
Zn1 Zn 0.0000 0.0000 0.0000
Zn2 Zn 0.5000 0.5000 0.0000
Fe1 Fe 0.1429 0.6429 0.5000
Fe2 Fe 0.3571 0.1429 0.5000
Fe3 Fe 0.6429 0.8571 0.5000
Fe4 Fe 0.8571 0.3571 0.5000
```

---

--- b ---
Density functional theory data (PBE) for a geometry-optimized Ta2ZnFe2 structure.

Structure (CIF):
```
data_Ta2ZnFe2
_chemical_formula_sum 'Ta4 Zn2 Fe4'
_space_group_name_H-M_alt 'P 1'
_space_group_IT_number 1
_cell_length_a 7.0168
_cell_length_b 7.0168
_cell_length_c 2.9761
_cell_angle_alpha 90.00
_cell_angle_beta 90.00
_cell_angle_gamma 90.00
loop_
_space_group_symop_operation_xyz
'x,y,z'
loop_
_atom_site_label
_atom_site_type_symbol
_atom_site_fract_x
_atom_site_fract_y
_atom_site_fract_z
Ta1 Ta 0.1629 0.3371 0.0000
Ta2 Ta 0.3371 0.8371 0.0000
Ta3 Ta 0.6629 0.1629 0.0000
Ta4 Ta 0.8371 0.6629 0.0000
Zn1 Zn 0.0000 0.0000 0.5000
Zn2 Zn 0.5000 0.5000 0.5000
Fe1 Fe 0.1362 0.6362 0.5000
Fe2 Fe 0.3638 0.1362 0.5000
Fe3 Fe 0.6362 0.8638 0.5000
Fe4 Fe 0.8638 0.3638 0.5000
```

---

List of relative energies, unit kJ/mol of atoms: a 21.4; b 0.0

---

--- a ---
Density functional theory data (PBE) for a geometry-optimized TaZnFe structure.

Structure (CIF):
```
data_TaZnFe
_chemical_formula_sum 'Ta1 Zn1 Fe1'
_space_group_name_H-M_alt 'P 1'
_space_group_IT_number 1
_cell_length_a 6.4633
_cell_length_b 6.3501
_cell_length_c 2.7207
_cell_angle_alpha 80.08
_cell_angle_beta 75.42
_cell_angle_gamma 24.50
loop_
_space_group_symop_operation_xyz
'x,y,z'
loop_
_atom_site_label
_atom_site_type_symbol
_atom_site_fract_x
_atom_site_fract_y
_atom_site_fract_z
Ta1 Ta 0.0000 0.0000 0.0000
Zn1 Zn 0.3186 0.3186 0.6814
Fe1 Fe 0.6653 0.6653 0.3347
```

---

--- b ---
Density functional theory data (PBE) for a geometry-optimized TaZnFe structure.

Structure (CIF):
```
data_TaZnFe
_chemical_formula_sum 'Ta1 Zn1 Fe1'
_space_group_name_H-M_alt 'P 1'
_space_group_IT_number 1
_cell_length_a 4.3041
_cell_length_b 4.3041
_cell_length_c 2.6881
_cell_angle_alpha 90.00
_cell_angle_beta 90.00
_cell_angle_gamma 120.00
loop_
_space_group_symop_operation_xyz
'x,y,z'
loop_
_atom_site_label
_atom_site_type_symbol
_atom_site_fract_x
_atom_site_fract_y
_atom_site_fract_z
Ta1 Ta 0.0000 0.0000 0.0000
Zn1 Zn 0.6667 0.3333 0.4625
Fe1 Fe 0.3333 0.6667 0.6647
```

---

--- c ---
Density functional theory data (PBE) for a geometry-optimized TaZnFe structure.

Structure (CIF):
```
data_TaZnFe
_chemical_formula_sum 'Ta1 Zn1 Fe1'
_space_group_name_H-M_alt 'P 1'
_space_group_IT_number 1
_cell_length_a 4.2005
_cell_length_b 4.2005
_cell_length_c 4.2005
_cell_angle_alpha 60.00
_cell_angle_beta 60.00
_cell_angle_gamma 60.00
loop_
_space_group_symop_operation_xyz
'x,y,z'
loop_
_atom_site_label
_atom_site_type_symbol
_atom_site_fract_x
_atom_site_fract_y
_atom_site_fract_z
Ta1 Ta 0.0000 0.0000 0.0000
Zn1 Zn 0.7500 0.7500 0.7500
Fe1 Fe 0.2500 0.2500 0.2500
```

---

--- d ---
Density functional theory data (PBE) for a geometry-optimized TaZnFe structure.

Structure (CIF):
```
data_TaZnFe
_chemical_formula_sum 'Ta1 Zn1 Fe1'
_space_group_name_H-M_alt 'P 1'
_space_group_IT_number 1
_cell_length_a 4.8102
_cell_length_b 4.8102
_cell_length_c 4.8102
_cell_angle_alpha 141.43
_cell_angle_beta 141.43
_cell_angle_gamma 55.69
loop_
_space_group_symop_operation_xyz
'x,y,z'
loop_
_atom_site_label
_atom_site_type_symbol
_atom_site_fract_x
_atom_site_fract_y
_atom_site_fract_z
Ta1 Ta 0.0000 0.0000 0.0000
Zn1 Zn 0.3153 0.3153 0.0000
Fe1 Fe 0.6547 0.6547 0.0000
```

---

List of relative energies, unit kJ/mol of atoms: a 7.9; b 3.1; c 79.8; d 0.0

---

--- a ---
Density functional theory data (PBE) for a geometry-optimized TaZn2Fe structure.

Structure (CIF):
```
data_TaZn2Fe
_chemical_formula_sum 'Ta1 Zn2 Fe1'
_space_group_name_H-M_alt 'P 1'
_space_group_IT_number 1
_cell_length_a 3.2667
_cell_length_b 3.9859
_cell_length_c 4.3656
_cell_angle_alpha 90.00
_cell_angle_beta 90.00
_cell_angle_gamma 90.00
loop_
_space_group_symop_operation_xyz
'x,y,z'
loop_
_atom_site_label
_atom_site_type_symbol
_atom_site_fract_x
_atom_site_fract_y
_atom_site_fract_z
Ta1 Ta 0.0000 0.0000 0.0000
Zn1 Zn 0.0000 0.5000 0.5000
Zn2 Zn 0.5000 0.0000 0.5000
Fe1 Fe 0.5000 0.5000 0.0000
```

---

--- b ---
Density functional theory data (PBE) for a geometry-optimized TaZn2Fe structure.

Structure (CIF):
```
data_TaZn2Fe
_chemical_formula_sum 'Ta1 Zn2 Fe1'
_space_group_name_H-M_alt 'P 1'
_space_group_IT_number 1
_cell_length_a 5.0618
_cell_length_b 5.0618
_cell_length_c 4.1673
_cell_angle_alpha 111.92
_cell_angle_beta 111.92
_cell_angle_gamma 35.59
loop_
_space_group_symop_operation_xyz
'x,y,z'
loop_
_atom_site_label
_atom_site_type_symbol
_atom_site_fract_x
_atom_site_fract_y
_atom_site_fract_z
Ta1 Ta 0.0000 0.0000 0.0000
Zn1 Zn 0.2339 0.2339 0.7324
Zn2 Zn 0.7661 0.7661 0.2676
Fe1 Fe 0.5000 0.5000 0.5000
```

---

--- c ---
Density functional theory data (PBE) for a geometry-optimized TaZn2Fe structure.

Structure (CIF):
```
data_TaZn2Fe
_chemical_formula_sum 'Ta1 Zn2 Fe1'
_space_group_name_H-M_alt 'P 1'
_space_group_IT_number 1
_cell_length_a 9.2653
_cell_length_b 9.2653
_cell_length_c 9.2653
_cell_angle_alpha 17.11
_cell_angle_beta 17.11
_cell_angle_gamma 17.11
loop_
_space_group_symop_operation_xyz
'x,y,z'
loop_
_atom_site_label
_atom_site_type_symbol
_atom_site_fract_x
_atom_site_fract_y
_atom_site_fract_z
Ta1 Ta 0.0000 0.0000 0.0000
Zn1 Zn 0.2433 0.2433 0.2433
Zn2 Zn 0.7567 0.7567 0.7567
Fe1 Fe 0.5000 0.5000 0.5000
```

---

List of relative energies, unit kJ/mol of atoms: a 0.0; b 1.6; c 9.6

---

--- a ---
Density functional theory data (PBE) for a geometry-optimized TaZnFe3 structure.

Structure (CIF):
```
data_TaZnFe3
_chemical_formula_sum 'Ta1 Zn1 Fe3'
_space_group_name_H-M_alt 'P 1'
_space_group_IT_number 1
_cell_length_a 4.1834
_cell_length_b 4.1834
_cell_length_c 4.1834
_cell_angle_alpha 90.00
_cell_angle_beta 90.00
_cell_angle_gamma 90.00
loop_
_space_group_symop_operation_xyz
'x,y,z'
loop_
_atom_site_label
_atom_site_type_symbol
_atom_site_fract_x
_atom_site_fract_y
_atom_site_fract_z
Ta1 Ta 0.0000 0.0000 0.0000
Zn1 Zn 0.5000 0.5000 0.5000
Fe1 Fe 0.0000 0.5000 0.5000
Fe2 Fe 0.5000 0.0000 0.5000
Fe3 Fe 0.5000 0.5000 0.0000
```

---

--- b ---
Density functional theory data (PBE) for a geometry-optimized TaZnFe3 structure.

Structure (CIF):
```
data_TaZnFe3
_chemical_formula_sum 'Ta1 Zn1 Fe3'
_space_group_name_H-M_alt 'P 1'
_space_group_IT_number 1
_cell_length_a 4.5238
_cell_length_b 4.5238
_cell_length_c 4.5238
_cell_angle_alpha 90.00
_cell_angle_beta 90.00
_cell_angle_gamma 90.00
loop_
_space_group_symop_operation_xyz
'x,y,z'
loop_
_atom_site_label
_atom_site_type_symbol
_atom_site_fract_x
_atom_site_fract_y
_atom_site_fract_z
Ta1 Ta 0.0000 0.0000 0.0000
Zn1 Zn 0.5000 0.5000 0.5000
Fe1 Fe 0.0000 0.0000 0.5000
Fe2 Fe 0.0000 0.5000 0.0000
Fe3 Fe 0.5000 0.0000 0.0000
```

---

List of relative energies, unit kJ/mol of atoms: a 0.0; b 12.4

---

--- a ---
Density functional theory data (PBE) for a geometry-optimized Zr2TaFe structure.

Structure (CIF):
```
data_Zr2TaFe
_chemical_formula_sum 'Zr2 Ta1 Fe1'
_space_group_name_H-M_alt 'P 1'
_space_group_IT_number 1
_cell_length_a 3.3010
_cell_length_b 4.5198
_cell_length_c 4.8365
_cell_angle_alpha 90.00
_cell_angle_beta 90.00
_cell_angle_gamma 90.00
loop_
_space_group_symop_operation_xyz
'x,y,z'
loop_
_atom_site_label
_atom_site_type_symbol
_atom_site_fract_x
_atom_site_fract_y
_atom_site_fract_z
Zr1 Zr 0.0000 0.0000 0.0000
Zr2 Zr 0.5000 0.0000 0.5000
Ta1 Ta 0.0000 0.5000 0.5000
Fe1 Fe 0.5000 0.5000 0.0000
```

---

--- b ---
Density functional theory data (PBE) for a geometry-optimized Zr2TaFe structure.

Structure (CIF):
```
data_Zr2TaFe
_chemical_formula_sum 'Zr2 Ta1 Fe1'
_space_group_name_H-M_alt 'P 1'
_space_group_IT_number 1
_cell_length_a 4.6976
_cell_length_b 4.6976
_cell_length_c 3.3245
_cell_angle_alpha 90.00
_cell_angle_beta 90.00
_cell_angle_gamma 90.00
loop_
_space_group_symop_operation_xyz
'x,y,z'
loop_
_atom_site_label
_atom_site_type_symbol
_atom_site_fract_x
_atom_site_fract_y
_atom_site_fract_z
Zr1 Zr 0.0000 0.5000 0.0000
Zr2 Zr 0.5000 0.0000 0.0000
Ta1 Ta 0.0000 0.0000 0.5000
Fe1 Fe 0.5000 0.5000 0.5000
```

---

List of relative energies, unit kJ/mol of atoms: a 5.1; b 0.0